Below is a geometry-optimized CaY structure, with properties calculated at the GGA-PBE level.

Computed properties:
The value obtained for the calculated total energy is -47.258 eV for the cell shown. The value obtained for the energy relative to the lowest polymorph listed for this composition is 246 meV/atom. As for the formation energy: 0.29 eV/atom. The value obtained for the volume is 39.14 Å³ per atom. The space group is No. 176.

```
CaY
1.0
-4.341 7.093 -9.109
6.769 -9.967 -2.638
-2.963 -1.978 -0.128
Ca Y
6 6
direct
0.940 0.234 0.250
0.706 0.940 0.750
0.766 0.706 0.250
0.060 0.766 0.750
0.294 0.060 0.250
0.234 0.294 0.750
0.857 0.467 0.250
0.390 0.857 0.750
0.533 0.390 0.250
0.143 0.533 0.750
0.610 0.143 0.250
0.467 0.610 0.750
```

---

Below is a geometry-optimized Dy8Ho2Sc3 structure, with properties calculated at the GGA-PBE level.

Computed properties:
The value obtained for the calculated total energy is -62.480 eV for the cell shown. The value obtained for the energy relative to the lowest polymorph listed for this composition is 0 meV/atom. As for the formation energy: 0.19 eV/atom. The value obtained for the volume is 30.37 Å³ per atom. The space group is No. 12.

```
Dy8Ho2Sc3
1.0
-4.111 -3.982 1.526
1.318 -2.215 8.210
-6.580 4.186 3.635
Dy Ho Sc
8 2 3
direct
0.230 0.588 0.588
0.770 0.412 0.412
0.884 0.136 0.136
0.116 0.864 0.864
0.648 0.612 0.077
0.648 0.077 0.612
0.352 0.923 0.388
0.352 0.388 0.923
0.338 0.320 0.320
0.662 0.680 0.680
0.500 0.000 0.000
0.000 0.268 0.732
0.000 0.732 0.268
```

---

Below is a geometry-optimized ScGePd5 structure, with properties calculated at the GGA-PBE level.

Computed properties:
The value obtained for the calculated total energy is -42.019 eV for the cell shown. The value obtained for the energy relative to the lowest polymorph listed for this composition is 0 meV/atom. As for the formation energy: -0.73 eV/atom. The value obtained for the volume is 16.35 Å³ per atom. The space group is No. 123.

```
ScGePd5
1.0
4.020 0.000 0.000
0.000 4.020 0.000
0.000 0.000 7.082
Sc Ge Pd
1 1 5
direct
0.000 0.000 0.500
0.500 0.500 0.000
0.000 0.500 0.785
0.000 0.500 0.215
0.500 0.000 0.785
0.500 0.000 0.215
0.500 0.500 0.500
```

---

Below is a geometry-optimized Cd5SnHg4 structure, with properties calculated at the GGA-PBE level.

Computed properties:
The value obtained for the calculated total energy is -18.809 eV for the cell shown. As for the formation energy: 0.04 eV/atom. The value obtained for the volume is 25.39 Å³ per atom. The space group is No. 59.

```
Cd5SnHg4
1.0
-3.222 2.484 -3.607
-5.917 -8.245 -0.394
-5.116 3.342 6.872
Cd Sn Hg
10 2 8
direct
0.252 0.740 0.676
0.252 0.260 0.676
0.751 0.500 0.000
0.252 0.740 0.324
0.252 0.260 0.324
0.748 0.760 0.176
0.748 0.240 0.176
0.249 0.000 0.500
0.748 0.240 0.824
0.748 0.760 0.824
0.594 0.000 0.000
0.406 0.500 0.500
0.111 0.000 0.822
0.260 0.661 0.000
0.260 0.339 0.000
0.111 0.000 0.178
0.889 0.500 0.322
0.740 0.839 0.500
0.740 0.161 0.500
0.889 0.500 0.678
```